# 1
VASP calculation (PBE-GGA) on V2CuRh4 after structural relaxation.

a b c (Å): 2.673 4.166 17.745
angles (deg): 90.00 90.00 90.00
Space group Immm (No. 71)
Symmetry-distinct sites (fractional):
V 0.000 0.000 0.082
Cu 0.000 0.000 0.500
Rh 0.000 0.000 0.363
Rh 0.000 0.500 0.275

Calculated values
formation energy	-0.02	eV per atom
total energy	-0.2724	hartree per atom
total magnetization	0.0	μB/cell

---

# 2
VASP calculation (PBE-GGA) on V4CuRh5 after structural relaxation.

a b c (Å): 2.757 2.757 18.035
angles (deg): 90.00 90.00 90.00
Space group P4/mmm (No. 123)
Symmetry-distinct sites (fractional):
V 0.000 0.000 0.101
V 0.000 0.000 0.303
Cu 0.000 0.000 0.500
Rh 0.500 0.500 0.000
Rh 0.500 0.500 0.202
Rh 0.500 0.500 0.398

Calculated values
formation energy	-0.30	eV per atom
total energy	-0.2953	hartree per atom
total magnetization	0.0	μB/cell

---

# 3
VASP calculation (PBE-GGA) on VCuRh after structural relaxation.

a b c (Å): 4.1706 4.1706 2.6634
angles (deg): 90.00 90.00 120.00
Space group P3m1 (No. 156)
Symmetry-distinct sites (fractional):
V 0.0000 0.0000 0.0000
Cu 0.6667 0.3333 0.3531
Rh 0.3333 0.6667 0.7665

Calculated values
formation energy	-0.11	eV per atom
total energy	-0.2559	hartree per atom
ΔE to the lowest computed polymorph	0.16	eV per formula unit
total magnetization	0.0	μB/cell

---

# 4
VASP calculation (PBE-GGA) on V2CuRh8 after structural relaxation.

a b c (Å): 4.011 6.831 11.476
angles (deg): 90.00 90.00 90.00
Space group Immm (No. 71)
Symmetry-distinct sites (fractional):
V 0.000 0.000 0.203
Cu 0.000 0.000 0.500
Rh 0.000 0.190 0.000
Rh 0.000 0.286 0.345
Rh 0.000 0.500 0.149

Calculated values
formation energy	-0.11	eV per atom
total energy	-0.2753	hartree per atom
total magnetization	0.0	μB/cell

---

# 5
VASP calculation (PBE-GGA) on V2CuRh after structural relaxation.

a b c (Å): 3.693 3.693 3.857
angles (deg): 90.00 90.00 90.00
Space group P4/mmm (No. 123)
Symmetry-distinct sites (fractional):
V 0.000 0.500 0.000
Cu 0.000 0.000 0.500
Rh 0.500 0.500 0.500

Calculated values
formation energy	-0.15	eV per atom
total energy	-0.2784	hartree per atom
total magnetization	0.0	μB/cell

---

# 6
VASP calculation (PBE-GGA) on V4CuRh7 after structural relaxation.

a b c (Å): 11.667 4.473 8.786
angles (deg): 90.00 127.18 90.00
Space group C2/m (No. 12)
Symmetry-distinct sites (fractional):
V 0.077 0.000 0.289
V 0.215 0.000 0.838
Cu 0.000 0.500 0.500
Rh 0.000 0.000 0.500
Rh 0.081 0.500 0.835
Rh 0.146 0.000 0.083
Rh 0.211 0.500 0.364

Calculated values
formation energy	0.02	eV per atom
total energy	-0.2811	hartree per atom
total magnetization	0.0	μB/cell